Entry 1:
Here is a relaxed TcSbI2F crystal from the Alexandria database. Energies are from GGA-PBEsol.

It has space group P4/mmm (No. 123), with a = 5.4281 Å, b = 5.4281 Å, c = 4.0191 Å, α = 90.00°, β = 90.00° and γ = 90.00°. Symmetry generates all atoms from Tc at (0.0000, 0.0000, 0.0000), Sb at (0.5000, 0.5000, 0.5000), I at (0.0000, 0.5000, 0.0000) and F at (0.0000, 0.0000, 0.5000).

The raw total energy is -4.30 eV/atom. The calculation puts the excess energy over the best structure of this formula in the dataset at 0.0 kJ/mol of atoms. The density is 6.91 Mg/m³. The density of states at the Fermi level comes out at 3.87 states/eV/f.u. As for the crystal system: tetragonal.

---

Entry 2:
Here is a relaxed TcSbI2F crystal from the Alexandria database. Energies are from GGA-PBEsol.

It has space group P4/mmm (No. 123), with a = 5.2831 Å, b = 5.2831 Å, c = 5.0728 Å, α = 90.00°, β = 90.00° and γ = 90.00°. Symmetry generates all atoms from Tc at (0.0000, 0.0000, 0.0000), Sb at (0.0000, 0.0000, 0.5000), I at (0.0000, 0.5000, 0.0000) and F at (0.5000, 0.5000, 0.5000).

The raw total energy is -4.00 eV/atom. The calculation puts the excess energy over the best structure of this formula in the dataset at 29.1 kJ/mol of atoms. The density is 5.78 Mg/m³. The density of states at the Fermi level comes out at 6.87 states/eV/f.u. As for the crystal system: tetragonal.

---

Entry 3:
Here is a relaxed SbTeI3F6 crystal from the Alexandria database. Energies are from GGA-PBEsol.

It has space group P2_1/c (No. 14), with a = 8.4228 Å, b = 10.6608 Å, c = 12.8776 Å, α = 90.00°, β = 99.54° and γ = 90.00°. Symmetry generates all atoms from Sb at (0.1797, 0.2159, 0.0831), Te at (0.1814, 0.6769, 0.7003), I at (0.2352, 0.5849, 0.2645), I at (0.2792, 0.5460, 0.8773), I at (0.4405, 0.6536, 0.6037), F at (0.0255, 0.7476, 0.0007), F at (0.1008, 0.0526, 0.1122), F at (0.1014, 0.2181, 0.7039), F at (0.2480, 0.1493, 0.9597), F at (0.2572, 0.1222, 0.5536) and F at (0.3811, 0.1769, 0.1660).

The raw total energy is -3.80 eV/atom. The density is 4.33 Mg/m³. The density of states at the Fermi level comes out at 0.00 states/eV/f.u. As for the crystal system: monoclinic.

---

Entry 4:
Here is a relaxed Sb2WIF crystal from the Alexandria database. Energies are from GGA-PBEsol.

It has space group P4/mmm (No. 123), with a = 5.1422 Å, b = 5.1422 Å, c = 5.3290 Å, α = 90.00°, β = 90.00° and γ = 90.00°. Symmetry generates all atoms from Sb at (0.0000, 0.5000, 0.0000), W at (0.0000, 0.0000, 0.0000), I at (0.0000, 0.0000, 0.5000) and F at (0.5000, 0.5000, 0.5000).

The raw total energy is -4.99 eV/atom. The density is 6.76 Mg/m³. The density of states at the Fermi level comes out at 4.31 states/eV/f.u. As for the crystal system: tetragonal.

---

Entry 5:
Here is a relaxed SeIF3 crystal from the Alexandria database. Energies are from GGA-PBEsol.

It has space group Pm-3m (No. 221), with a = 4.3636 Å, b = 4.3636 Å, c = 4.3636 Å, α = 90.00°, β = 90.00° and γ = 90.00°. Symmetry generates all atoms from Se at (0.0000, 0.0000, 0.0000), I at (0.5000, 0.5000, 0.5000) and F at (0.0000, 0.0000, 0.5000).

The raw total energy is -2.85 eV/atom. The density is 5.25 Mg/m³. The density of states at the Fermi level comes out at 4.63 states/eV/f.u. As for the crystal system: cubic.

---

Entry 6:
Here is a relaxed SeIF2 crystal from the Alexandria database. Energies are from GGA-PBEsol.

It has space group R-3m (No. 166, hexagonal axes), with a = 3.1914 Å, b = 3.1914 Å, c = 28.5051 Å, α = 90.00°, β = 90.00° and γ = 120.00°. Symmetry generates all atoms from Se at (0.0000, 0.0000, 0.0000), I at (0.0000, 0.0000, 0.5000) and F at (0.0000, 0.0000, 0.4301).

The raw total energy is -2.79 eV/atom. The density is 4.83 Mg/m³. The density of states at the Fermi level comes out at 1.91 states/eV/f.u. As for the crystal system: trigonal.

---

Entry 7:
Here is a relaxed Se3IF crystal from the Alexandria database. Energies are from GGA-PBEsol.

It has space group Pm-3m (No. 221), with a = 5.3218 Å, b = 5.3218 Å, c = 5.3218 Å, α = 90.00°, β = 90.00° and γ = 90.00°. Symmetry generates all atoms from Se at (0.0000, 0.0000, 0.5000), I at (0.0000, 0.0000, 0.0000) and F at (0.5000, 0.5000, 0.5000).

The raw total energy is -2.19 eV/atom. The density is 4.22 Mg/m³. The density of states at the Fermi level comes out at 9.65 states/eV/f.u. As for the crystal system: cubic.

---

Entry 8:
Here is a relaxed SrIF crystal from the Alexandria database. Energies are from GGA-PBEsol.

It has space group P4/nmm (No. 129, origin choice 2), with a = 4.2022 Å, b = 4.2022 Å, c = 8.8804 Å, α = 90.00°, β = 90.00° and γ = 90.00°. Symmetry generates all atoms from Sr at (0.2500, 0.2500, 0.1507), I at (0.2500, 0.2500, 0.6676) and F at (0.2500, 0.7500, 0.0000).

The raw total energy is -4.71 eV/atom. The density is 4.95 Mg/m³. The density of states at the Fermi level comes out at 0.00 states/eV/f.u. As for the crystal system: tetragonal.